[1]
First-principles (PBE-GGA) data for B3SeS after structural relaxation, as listed in the Alexandria database.

Calculated values
* E_form (uncorrected): 1.65 eV per atom
* DFT total energy: -3.877 eV/atom
* SG: Pm-3m, No. 221

```
B3SeS
1.0
3.9051 0.0000 0.0000
0.0000 3.9051 0.0000
0.0000 0.0000 3.9051
S B Se
1 3 1
Direct
0.0000 0.0000 0.0000
0.0000 0.5000 0.0000
0.0000 0.0000 0.5000
0.5000 0.0000 0.0000
0.5000 0.5000 0.5000
```



[2]
First-principles (PBE-GGA) data for BSeS2 after structural relaxation, as listed in the Alexandria database.

Calculated values
* E_form (uncorrected): 0.37 eV per atom
* DFT total energy: -4.233 eV/atom
* SG: I-42d, No. 122

```
BSeS2
1.0
-0.9533 -5.7764 0.1429
5.7716 -0.9450 0.3039
2.2244 -3.2336 4.1271
S B Se
4 2 2
Direct
0.5213 0.1250 0.2500
0.2287 0.6250 0.2500
0.3750 0.4787 0.7500
0.8750 0.7713 0.7500
0.5000 0.5000 0.0000
0.2500 0.7500 0.5000
0.0000 0.0000 0.0000
0.7500 0.2500 0.5000
```



[3]
First-principles (PBE-GGA) data for B2SeS after structural relaxation, as listed in the Alexandria database.

Calculated values
* E_form (uncorrected): 0.63 eV per atom
* DFT total energy: -4.612 eV/atom
* SG: I-42d, No. 122

```
B2SeS
1.0
-3.6112 -1.7862 -3.3042
0.1190 -4.6357 2.3760
-4.4128 -2.0949 1.8470
S B Se
2 4 2
Direct
0.5000 0.5000 0.0000
0.2500 0.7500 0.5000
0.5927 0.1250 0.2500
0.1573 0.6250 0.2500
0.3750 0.4073 0.7500
0.8750 0.8427 0.7500
0.0000 0.0000 0.0000
0.7500 0.2500 0.5000
```



[4]
First-principles (PBE-GGA) data for BSe2S2 after structural relaxation, as listed in the Alexandria database.

Calculated values
* E_form (uncorrected): 0.50 eV per atom
* DFT total energy: -3.881 eV/atom
* SG: P4/mbm, No. 127

```
BSe2S2
1.0
-4.8448 -1.9382 -1.0205
1.5411 -1.2555 -4.9315
2.6939 -8.2880 2.9519
S B Se
4 2 4
Direct
0.1664 0.6664 0.0000
0.6664 0.8336 0.0000
0.8336 0.3336 0.0000
0.3336 0.1664 0.0000
0.0000 0.0000 0.0000
0.5000 0.5000 0.0000
0.2499 0.7499 0.5000
0.7499 0.7501 0.5000
0.7501 0.2501 0.5000
0.2501 0.2499 0.5000
```



[5]
First-principles (PBE-GGA) data for BSeS2 after structural relaxation, as listed in the Alexandria database.

Calculated values
* E_form (uncorrected): 1.44 eV per atom
* DFT total energy: -3.163 eV/atom
* SG: Fm-3m, No. 225

```
BSeS2
1.0
4.1155 -0.5208 -1.4696
1.7450 -4.0309 -0.2743
0.7150 -1.8248 -3.9404
S B Se
2 1 1
Direct
0.2500 0.2500 0.2500
0.7500 0.7500 0.7500
0.0000 0.0000 0.0000
0.5000 0.5000 0.5000
```



[6]
First-principles (PBE-GGA) data for BSeS after structural relaxation, as listed in the Alexandria database.

Calculated values
* E_form (uncorrected): -0.22 eV per atom
* DFT total energy: -4.987 eV/atom
* SG: P-1, No. 2

```
BSeS
1.0
-4.2408 3.6516 -3.0928
0.9422 -4.0898 -2.2617
-5.0882 -0.8218 4.5601
Se S B
2 2 2
Direct
0.1746 0.6286 0.1021
0.8254 0.3714 0.8979
0.7647 0.3270 0.4143
0.2353 0.6730 0.5857
0.9451 0.4602 0.6478
0.0549 0.5398 0.3522
```



[7]
First-principles (PBE-GGA) data for BSe3S after structural relaxation, as listed in the Alexandria database.

Calculated values
* E_form (uncorrected): 1.39 eV per atom
* DFT total energy: -2.861 eV/atom
* SG: Pm-3m, No. 221

```
BSe3S
1.0
4.8556 0.0000 0.0000
0.0000 4.8556 0.0000
0.0000 0.0000 4.8556
S B Se
1 1 3
Direct
0.0000 0.0000 0.0000
0.5000 0.5000 0.5000
0.0000 0.5000 0.0000
0.0000 0.0000 0.5000
0.5000 0.0000 0.0000
```



[8]
First-principles (PBE-GGA) data for B2SeS after structural relaxation, as listed in the Alexandria database.

Calculated values
* E_form (uncorrected): 1.76 eV per atom
* DFT total energy: -3.478 eV/atom
* SG: Fm-3m, No. 225

```
B2SeS
1.0
-2.8909 1.4307 2.5319
-1.4962 3.7816 -0.5247
-3.8364 0.5177 -1.3524
S B Se
1 2 1
Direct
0.0000 0.0000 0.0000
0.2500 0.2500 0.2500
0.7500 0.7500 0.7500
0.5000 0.5000 0.5000
```



[9]
First-principles (PBE-GGA) data for BSeS2 after structural relaxation, as listed in the Alexandria database.

Calculated values
* E_form (uncorrected): 0.42 eV per atom
* DFT total energy: -4.188 eV/atom
* SG: R-3m, No. 166

```
BSeS2
1.0
1.8389 0.0000 7.2487
-0.9194 1.5925 7.2487
-0.9194 -1.5925 7.2487
S B Se
2 1 1
Direct
0.8862 0.8862 0.8862
0.1138 0.1138 0.1138
0.5000 0.5000 0.5000
0.0000 0.0000 0.0000
```



[10]
First-principles (PBE-GGA) data for Sr2BSeS after structural relaxation, as listed in the Alexandria database.

Calculated values
* E_form (uncorrected): -0.65 eV per atom
* DFT total energy: -4.176 eV/atom
* SG: P4/mmm, No. 123

```
Sr2BSeS
1.0
5.6644 0.0000 0.0000
0.0000 3.8545 0.0000
0.0000 0.0000 5.6644
Sr S B Se
2 1 1 1
Direct
0.0000 0.0000 0.5000
0.5000 0.0000 0.0000
0.0000 0.0000 0.0000
0.0000 0.5000 0.0000
0.5000 0.5000 0.5000
```



[11]
First-principles (PBE-GGA) data for SrBSe2S after structural relaxation, as listed in the Alexandria database.

Calculated values
* E_form (uncorrected): 0.59 eV per atom
* DFT total energy: -3.303 eV/atom
* SG: P4/mmm, No. 123

```
SrBSe2S
1.0
4.9874 0.0000 0.0000
0.0000 5.4429 0.0000
0.0000 0.0000 4.9874
Sr S B Se
1 1 1 2
Direct
0.0000 0.5000 0.0000
0.0000 0.0000 0.0000
0.5000 0.5000 0.5000
0.0000 0.0000 0.5000
0.5000 0.0000 0.0000
```



[12]
First-principles (PBE-GGA) data for Tb8BSe3S4 after structural relaxation, as listed in the Alexandria database.

Calculated values
* E_form (uncorrected): -1.75 eV per atom
* DFT total energy: -6.164 eV/atom
* SG: R-3m, No. 166

```
Tb8BSe3S4
1.0
8.0192 0.0000 0.0000
0.0000 7.9492 -0.0561
-4.0096 -4.0051 5.6735
Tb B Se S
8 1 3 4
Direct
0.2334 0.7426 0.0092
0.2334 0.7426 0.4668
0.2436 0.2307 0.4871
0.7758 0.7426 0.0092
0.2242 0.2574 0.9908
0.7564 0.7693 0.5129
0.7666 0.2574 0.5332
0.7666 0.2574 0.9908
0.0000 0.5000 0.0000
0.5000 0.5000 0.0000
0.5000 0.5000 0.5000
0.0000 0.5000 0.5000
0.5000 0.0000 0.0000
0.5000 0.0000 0.5000
0.0000 0.0000 0.0000
0.0000 0.0000 0.5000
```